A geometry-optimized DyPaTeOs structure, computed with GGA-PBE.

Calculated values
formation energy without anion corrections = -0.68 eV per atom
total magnetization = 0.000 μB per atom
total DFT energy (no corrections) = -7.8000 eV per atom

a b c (Å): 4.066 4.066 7.810
angles (deg): 90.00 105.08 119.99
Positions (direct):
Dy  0.497  0.147  0.659
Te  0.966  0.381  0.363
Pa  0.100  0.948  0.063
Os  0.314  0.555  0.884

---

A geometry-optimized DyPaZnOs structure, computed with GGA-PBE.

Calculated values
total magnetization = 0.000 μB per atom
E_form = -0.64 eV per formula unit
total DFT energy (no corrections) = -6.8111 eV per atom

a b c (Å): 4.918 4.918 4.918
angles (deg): 60.00 60.00 60.00
Positions (direct):
Os  0.500  0.500  0.500
Zn  0.000  0.000  0.000
Pa  0.750  0.750  0.750
Dy  0.250  0.250  0.250

---

A geometry-optimized Dy4OsPb structure, computed with GGA-PBE.

Calculated values
total magnetization = 0.000 μB per atom
E_form = -2.31 eV per formula unit
total DFT energy (no corrections) = -5.9432 eV per atom

a b c (Å): 6.148 8.687 8.098
angles (deg): 114.57 102.09 108.51
Positions (direct):
Pb  0.380  0.630  0.259
Pb  0.620  0.370  0.741
Dy  0.058  0.206  0.861
Dy  0.697  0.346  0.139
Dy  0.303  0.654  0.861
Dy  0.785  0.724  0.667
Dy  0.215  0.276  0.333
Dy  0.942  0.794  0.139
Dy  0.382  0.943  0.667
Dy  0.618  0.057  0.333
Os  0.750  0.000  0.999
Os  0.250  0.000  0.001

---

A geometry-optimized Dy2OsPb structure, computed with GGA-PBE.

Calculated values
total magnetization = 0.000 μB per atom
E_form = -1.51 eV per formula unit
total DFT energy (no corrections) = -6.4119 eV per atom

a b c (Å): 3.399 3.399 8.486
angles (deg): 90.00 90.00 90.00
Positions (direct):
Os  0.500  0.500  0.000
Dy  0.000  0.000  0.197
Dy  0.000  0.000  0.803
Pb  0.500  0.500  0.500

---

A geometry-optimized Dy8OsPb2 structure, computed with GGA-PBE.

Calculated values
total magnetization = 0.000 μB per atom
E_form = -2.87 eV per formula unit
total DFT energy (no corrections) = -5.3026 eV per atom

a b c (Å): 5.054 6.695 10.042
angles (deg): 106.21 104.58 90.00
Positions (direct):
Dy  0.019  0.790  0.038
Dy  0.587  0.450  0.174
Dy  0.643  0.999  0.287
Dy  0.413  0.550  0.826
Dy  0.783  0.677  0.566
Dy  0.981  0.210  0.962
Dy  0.217  0.323  0.434
Dy  0.357  0.001  0.713
Pb  0.820  0.245  0.639
Pb  0.180  0.755  0.361
Os  0.500  0.000  0.000

---

A geometry-optimized Dy4OsPd structure, computed with GGA-PBE.

Calculated values
relative energy among the computed polymorphs = 0.0 kJ/mol of atoms
total magnetization = 0.000 μB per atom
E_form = -2.39 eV per formula unit
total DFT energy (no corrections) = -6.2034 eV per atom

a b c (Å): 9.472 9.472 9.472
angles (deg): 60.00 60.00 60.00
Positions (direct):
Dy  0.555  0.555  0.945
Dy  0.811  0.189  0.811
Dy  0.400  0.400  0.801
Dy  0.811  0.811  0.189
Dy  0.945  0.945  0.555
Dy  0.945  0.555  0.945
Dy  0.555  0.945  0.555
Dy  0.801  0.400  0.400
Dy  0.189  0.189  0.811
Dy  0.400  0.400  0.400
Dy  0.555  0.945  0.945
Dy  0.189  0.811  0.189
Dy  0.811  0.189  0.189
Dy  0.189  0.811  0.811
Dy  0.945  0.555  0.555
Dy  0.400  0.801  0.400
Os  0.166  0.611  0.611
Os  0.611  0.611  0.611
Os  0.611  0.611  0.166
Os  0.611  0.166  0.611
Pd  0.159  0.159  0.523
Pd  0.159  0.159  0.159
Pd  0.523  0.159  0.159
Pd  0.159  0.523  0.159

---

A geometry-optimized Dy6OsPd2 structure, computed with GGA-PBE.

Calculated values
total magnetization = 0.000 μB per atom
E_form = -4.17 eV per formula unit
total DFT energy (no corrections) = -5.9336 eV per atom

a b c (Å): 8.315 8.315 8.315
angles (deg): 108.53 110.62 109.27
Positions (direct):
Dy  0.712  0.380  0.667
Dy  0.186  0.741  0.927
Dy  0.288  0.955  0.667
Dy  0.814  0.741  0.556
Dy  0.814  0.259  0.073
Dy  0.186  0.259  0.444
Dy  0.712  0.045  0.333
Dy  0.288  0.620  0.333
Dy  0.085  0.258  0.828
Dy  0.430  0.258  0.172
Dy  0.570  0.742  0.828
Dy  0.915  0.742  0.172
Pd  0.500  0.365  0.865
Pd  0.655  0.000  0.655
Pd  0.500  0.635  0.135
Pd  0.345  0.000  0.345
Os  0.000  0.000  0.000
Os  0.000  0.500  0.500

---

A geometry-optimized Dy4OsPd structure, computed with GGA-PBE.

Calculated values
relative energy among the computed polymorphs = 1.0 kJ/mol of atoms
total magnetization = 0.000 μB per atom
E_form = -2.33 eV per formula unit
total DFT energy (no corrections) = -6.1931 eV per atom

a b c (Å): 4.827 4.827 6.870
angles (deg): 89.98 89.99 90.00
Positions (direct):
Dy  0.501  0.998  0.739
Dy  0.501  0.997  0.257
Dy  0.001  0.497  0.257
Dy  0.001  0.498  0.739
Os  0.001  0.997  0.498
Pd  0.501  0.497  0.998